Material: Rb2YMgF6
Method: DFT, PBE
State: relaxed

a b c (Å): 6.2500 6.2500 8.6606
angles (deg): 90.00 90.00 90.00
Space group I4/mmm (No. 139)
Unique sites:
Rb 0.0000 0.5000 0.2500 [4 per cell]
Y 0.0000 0.0000 0.0000 [2 per cell]
Mg 0.0000 0.0000 0.5000 [2 per cell]
F 0.0000 0.0000 0.2588 [4 per cell]
F 0.2337 0.2337 0.5000 [8 per cell]

The calculation puts the raw total energy at -5.245 eV per atom. As for the uncorrected formation energy: -3.123 eV/atom.